Below is an optimized crystal structure of La2Ni4Sn3Hg, with properties calculated at the PBE level.

## Properties
For the density of states at the Fermi level, the calculation gives 8.0 states/eV per cell. For the magnetic moment, the calculation gives 0.00 μB/f.u. Its space group is P-4m2. Its raw total energy is -5.004 eV/atom.

abc: 4.532 4.532 10.104
angles: 90.00 90.00 90.00
Element x y z (fractional)
1 La 0.500 0.000 0.238
2 La 0.000 0.500 0.762
3 Ni 0.000 0.500 0.371
4 Ni 0.500 0.500 0.000
5 Ni 0.500 0.000 0.629
6 Ni 0.000 0.000 0.000
7 Sn 0.000 0.000 0.500
8 Sn 0.000 0.500 0.123
9 Sn 0.500 0.000 0.877
10 Hg 0.500 0.500 0.500

=====

Below is an optimized crystal structure of La2Ni3Sn4Hg, with properties calculated at the PBE level.

## Properties
For the density of states at the Fermi level, the calculation gives 5.5 states/eV per cell. For the magnetic moment, the calculation gives 0.00 μB/f.u. Its space group is P-4m2. Its raw total energy is -4.851 eV/atom.

abc: 4.558 4.558 10.639
angles: 90.00 90.00 90.00
Element x y z (fractional)
1 Ni 0.500 0.000 0.885
2 Ni 0.000 0.000 0.500
3 Ni 0.000 0.500 0.115
4 Sn 0.500 0.000 0.650
5 Sn 0.000 0.000 0.000
6 Sn 0.000 0.500 0.350
7 Sn 0.500 0.500 0.000
8 Hg 0.500 0.500 0.500
9 La 0.500 0.000 0.246
10 La 0.000 0.500 0.754

=====

Below is an optimized crystal structure of SrLaNiHg2, with properties calculated at the PBE level.

## Properties
For the density of states at the Fermi level, the calculation gives 2.6 states/eV per cell. For the magnetic moment, the calculation gives 0.00 μB/f.u. Its space group is P4/mmm. Its raw total energy is -2.889 eV/atom.

abc: 5.321 5.321 4.935
angles: 90.00 90.00 90.00
Element x y z (fractional)
1 Sr 0.500 0.500 0.500
2 Ni 0.000 0.000 0.000
3 Hg 0.000 0.500 0.000
4 Hg 0.500 0.000 0.000
5 La 0.000 0.000 0.500